! Mg2AsHN (PBE-GGA, relaxed); values from VASP
&SYSTEM
  ibrav = 0, nat = 5, ntyp = 4
/
ATOMIC_SPECIES
Mg 24.30 Mg.upf
H 1.01 H.upf
As 74.92 As.upf
N 14.01 N.upf
ATOMIC_POSITIONS angstrom
Mg -2.107 -0.436 -0.305
Mg -4.723 0.434 1.051
H -4.151 -1.842 0.135
As -2.516 -0.676 2.543
N 0.015 -0.231 0.177
CELL_PARAMETERS angstrom
-1.013 2.531 3.383
-4.219 -0.790 -0.672
0.189 -2.912 2.235
! Final energy   -4.33 eV/atom
! Space-group type   P4mm
! Total magnetic moment   0.000 Bohr magnetons per cell
! V   13.9 Å³ per atom